Ta2CrAs: single point on PBEsol structure, meta-GGA SCAN.

The structure in extended XYZ format:
```
4
Lattice="3.147 0.000 0.000 1.573 2.725 0.000 1.573 0.908 7.529" Properties=species:S:1:pos:R:3 pbc="T T T"
As 3.147 1.817 3.765
Ta 1.573 0.908 1.828
Ta 4.720 2.725 5.701
Cr 0.000 0.000 0.000
```

Values from the calculation:
calculated total energy	-42.766	eV per atom


CrNiIr2: single point on PBEsol structure, meta-GGA SCAN.

The structure in extended XYZ format:
```
4
Lattice="-2.449 -2.829 -1.882 1.709 -3.021 -2.345 -0.033 -3.967 1.345" Properties=species:S:1:pos:R:3 pbc="T T T"
Ni -0.580 -7.363 -2.162
Ir -0.193 -2.454 -0.721
Ir 0.000 0.000 0.000
Cr -0.386 -4.908 -1.441
```

Values from the calculation:
calculated total energy	-43.994	eV per atom


Ca11Mn2N10: single point on PBEsol structure, meta-GGA SCAN.

The structure in extended XYZ format:
```
23
Lattice="6.040 0.009 0.112 -2.790 5.357 0.112 0.167 0.276 12.230" Properties=species:S:1:pos:R:3 pbc="T T T"
Mn 0.258 0.427 2.939
Mn 0.209 0.346 9.184
Ca 3.973 2.360 1.661
Ca 0.637 4.973 10.798
Ca 2.594 0.446 4.688
Ca 4.111 2.869 10.798
Ca 2.207 3.645 4.682
Ca 0.251 4.615 1.661
Ca 3.930 0.357 7.528
Ca -0.807 2.505 4.688
Ca -1.505 3.648 7.528
Ca 0.910 1.502 12.162
Ca 1.530 2.526 7.756
N -0.653 1.764 8.884
N -1.718 4.277 3.270
N 3.327 2.183 6.177
N 0.393 3.960 6.177
N 3.198 1.340 12.244
N 4.586 0.460 3.270
N 2.570 4.244 9.142
N 1.112 1.836 3.287
N -0.294 3.455 12.244
N 1.866 0.238 8.884
```

Values from the calculation:
ΔE_f (raw)	-0.993	eV per atom


Please write out number 1 again, unchanged.
Ta2CrAs: single point on PBEsol structure, meta-GGA SCAN.

The structure in extended XYZ format:
```
4
Lattice="3.147 0.000 0.000 1.573 2.725 0.000 1.573 0.908 7.529" Properties=species:S:1:pos:R:3 pbc="T T T"
As 3.147 1.817 3.765
Ta 1.573 0.908 1.828
Ta 4.720 2.725 5.701
Cr 0.000 0.000 0.000
```

Values from the calculation:
calculated total energy	-42.766	eV per atom